Below is a relaxed RbCuTe2Au crystal, with properties calculated at the PBE level.

abc: 7.7408 6.8610 7.0401
angles: 119.16 90.00 90.00
Closest atoms and distances in Å follow each position.
Atoms (fractional coordinates):
Rb 0.2553 0.7500 0.5000  2 Au 3.65, 6 Te 3.91-3.92, 4 Cu 4.00
Rb 0.7447 0.2500 0.5000  2 Au 3.65, 6 Te 3.91-3.92, 4 Cu 4.00
Te 0.3005 0.4015 0.8029  2 Cu 2.61, 1 Au 2.62
Te 0.3005 0.0985 0.1971  2 Cu 2.61, 1 Au 2.62
Te 0.6995 0.5985 0.1971  2 Cu 2.61, 1 Au 2.62
Te 0.6995 0.9015 0.8029  2 Cu 2.61, 1 Au 2.62
Cu 0.5000 0.2500 0.0000  4 Te 2.61
Cu 0.5000 0.7500 0.0000  4 Te 2.61
Au 0.0000 0.5000 0.0000  2 Te 2.62
Au 0.0000 0.0000 0.0000  2 Te 2.62

crystal system: orthorhombic
final energy: -3.312 eV/atom
E_form (uncorrected): -387 meV per atom